i | # PBE-GGA Mg8GaPb2, optimized geometry
# Size of the total moment: 0.00 μB per atom
# Crystal system: monoclinic
data_Mg8GaPb2
_symmetry_space_group_name_H-M 'C 1 2/m 1'
_symmetry_Int_Tables_number 12
_cell_length_a 16.2724
_cell_length_b 4.5625
_cell_length_c 7.1816
_cell_angle_alpha 90.00
_cell_angle_beta 105.75
_cell_angle_gamma 90.00
loop_
_symmetry_equiv_pos_as_xyz
'x,y,z'
'-x,-y,-z'
'-x,y,-z'
'x,-y,z'
'x+1/2,y+1/2,z'
'-x+1/2,-y+1/2,-z'
'-x+1/2,y+1/2,-z'
'x+1/2,-y+1/2,z'
loop_
_atom_site_label
_atom_site_type_symbol
_atom_site_fract_x
_atom_site_fract_y
_atom_site_fract_z
_atom_site_occupancy
Mg1 Mg 0.0388 0.0000 0.2352 1
Mg2 Mg 0.0873 0.5000 0.9420 1
Mg3 Mg 0.1348 0.0000 0.6758 1
Mg4 Mg 0.1715 0.5000 0.4113 1
Ga1 Ga 0.0000 0.5000 0.5000 1
Pb1 Pb 0.2196 0.0000 0.1542 1

***

ii | # PBE-GGA Mg8GaPb2, optimized geometry
# Size of the total moment: 0.00 μB per atom
# Crystal system: monoclinic
data_Mg8GaPb2
_symmetry_space_group_name_H-M 'C 1 2/m 1'
_symmetry_Int_Tables_number 12
_cell_length_a 18.5981
_cell_length_b 5.0655
_cell_length_c 5.5926
_cell_angle_alpha 90.00
_cell_angle_beta 99.19
_cell_angle_gamma 90.00
loop_
_symmetry_equiv_pos_as_xyz
'x,y,z'
'-x,-y,-z'
'-x,y,-z'
'x,-y,z'
'x+1/2,y+1/2,z'
'-x+1/2,-y+1/2,-z'
'-x+1/2,y+1/2,-z'
'x+1/2,-y+1/2,z'
loop_
_atom_site_label
_atom_site_type_symbol
_atom_site_fract_x
_atom_site_fract_y
_atom_site_fract_z
_atom_site_occupancy
Mg1 Mg 0.0423 0.0000 0.2607 1
Mg2 Mg 0.0775 0.5000 0.5962 1
Mg3 Mg 0.1537 0.5000 0.1334 1
Mg4 Mg 0.2463 0.0000 0.3289 1
Ga1 Ga 0.0000 0.5000 0.0000 1
Pb1 Pb 0.1640 0.0000 0.7762 1

***

Which one sits at the bottom of the stability order? ii does.

***

i | # PBE-GGA SmMgGaPb, optimized geometry
# Size of the total moment: 0.00 μB per atom
# Crystal system: cubic
data_SmMgGaPb
_symmetry_space_group_name_H-M 'F -4 3 m'
_symmetry_Int_Tables_number 216
_symmetry_space_group_name_Hall 'F -4 2 3'
_cell_length_a 7.4025
_cell_length_b 7.4025
_cell_length_c 7.4025
_cell_angle_alpha 90.00
_cell_angle_beta 90.00
_cell_angle_gamma 90.00
loop_
_atom_site_label
_atom_site_type_symbol
_atom_site_fract_x
_atom_site_fract_y
_atom_site_fract_z
_atom_site_occupancy
Sm1 Sm 0.0000 0.0000 0.0000 1
Mg1 Mg 0.0000 0.0000 0.5000 1
Ga1 Ga 0.2500 0.2500 0.7500 1
Pb1 Pb 0.2500 0.2500 0.2500 1

***

ii | # PBE-GGA SmMgGaPb, optimized geometry
# Size of the total moment: 0.00 μB per atom
# Crystal system: orthorhombic
data_SmMgGaPb
_symmetry_space_group_name_H-M 'P m m m'
_symmetry_Int_Tables_number 47
_cell_length_a 4.4094
_cell_length_b 4.6462
_cell_length_c 4.7844
_cell_angle_alpha 90.00
_cell_angle_beta 90.00
_cell_angle_gamma 90.00
loop_
_symmetry_equiv_pos_as_xyz
'x,y,z'
'-x,-y,-z'
'-x,-y,z'
'x,y,-z'
'x,-y,-z'
'-x,y,z'
'-x,y,-z'
'x,-y,z'
loop_
_atom_site_label
_atom_site_type_symbol
_atom_site_fract_x
_atom_site_fract_y
_atom_site_fract_z
_atom_site_occupancy
Sm1 Sm 0.0000 0.0000 0.0000 1
Mg1 Mg 0.0000 0.5000 0.5000 1
Ga1 Ga 0.5000 0.5000 0.0000 1
Pb1 Pb 0.5000 0.0000 0.5000 1

***

Which one sits at the bottom of the stability order? i does.